# Ac2HoNpO8, relaxed, DFT PBE
# E_tot: -102.72 eV per cell
# Energy relative to the elements, uncorrected: -3.110 eV/atom
# Theoretical density: 8.996 g/cm3
data_Ac2HoNpO8
_chemical_formula_sum 'Ac2 Ho1 Np1 O8'
_cell_length_a 4.105
_cell_length_b 7.711
_cell_length_c 5.765
_cell_angle_alpha 90.00
_cell_angle_beta 95.55
_cell_angle_gamma 90.00
_symmetry_space_group_name_H-M 'P 1 2/m 1'
_symmetry_Int_Tables_number 10
loop_
_symmetry_equiv_pos_as_xyz
'x,y,z'
'-x,-y,-z'
'-x,y,-z'
'x,-y,z'
loop_
_atom_site_label
_atom_site_type_symbol
_atom_site_fract_x
_atom_site_fract_y
_atom_site_fract_z
_atom_site_occupancy
Ac1 Ac 0.000 0.247 0.000 1
Ho1 Ho 0.500 0.000 0.500 1
Np1 Np 0.500 0.500 0.500 1
O1 O 0.034 0.000 0.260 1
O2 O 0.077 0.500 0.296 1
O3 O 0.454 0.282 0.719 1

# Ac2HoNpO6, relaxed, DFT PBE
# E_tot: -174.75 eV per cell
# Energy relative to the elements, uncorrected: -3.189 eV/atom
# Theoretical density: 9.484 g/cm3
data_Ac2HoNpO6
_chemical_formula_sum 'Ac4 Ho2 Np2 O12'
_cell_length_a 6.092
_cell_length_b 6.270
_cell_length_c 10.640
_cell_angle_alpha 90.00
_cell_angle_beta 124.90
_cell_angle_gamma 90.00
_symmetry_space_group_name_H-M 'P 1 21/c 1'
_symmetry_Int_Tables_number 14
loop_
_symmetry_equiv_pos_as_xyz
'x,y,z'
'-x,-y,-z'
'-x,y+1/2,-z+1/2'
'x,-y+1/2,z+1/2'
loop_
_atom_site_label
_atom_site_type_symbol
_atom_site_fract_x
_atom_site_fract_y
_atom_site_fract_z
_atom_site_occupancy
Ac1 Ac 0.236 0.050 0.250 1
Ho1 Ho 0.500 0.000 0.000 1
Np1 Np 0.000 0.000 0.500 1
O1 O 0.136 0.194 0.936 1
O2 O 0.244 0.701 0.936 1
O3 O 0.375 0.053 0.754 1

# AcHoNpO6, relaxed, DFT PBE
# E_tot: -161.34 eV per cell
# Energy relative to the elements, uncorrected: -3.255 eV/atom
# Theoretical density: 7.962 g/cm3
data_AcHoNpO6
_chemical_formula_sum 'Ac2 Ho2 Np2 O12'
_cell_length_a 5.8129
_cell_length_b 5.8129
_cell_length_c 10.3332
_cell_angle_alpha 90.00
_cell_angle_beta 90.00
_cell_angle_gamma 120.00
_symmetry_space_group_name_H-M 'P -3 1 c'
_symmetry_Int_Tables_number 163
_symmetry_space_group_name_Hall '-P 3 2c'
loop_
_atom_site_label
_atom_site_type_symbol
_atom_site_fract_x
_atom_site_fract_y
_atom_site_fract_z
_atom_site_occupancy
Ac1 Ac 0.0000 0.0000 0.0000 1
Ho1 Ho 0.3333 0.6667 0.2500 1
Np1 Np 0.3333 0.6667 0.7500 1
O1 O 0.0234 0.3728 0.6417 1

# AcHoO2, relaxed, DFT PBE
# E_tot: -88.89 eV per cell
# Energy relative to the elements, uncorrected: -2.757 eV/atom
# Theoretical density: 10.446 g/cm3
data_AcHoO2
_chemical_formula_sum 'Ac3 Ho3 O6'
_cell_length_a 3.5578
_cell_length_b 3.5578
_cell_length_c 18.4431
_cell_angle_alpha 90.00
_cell_angle_beta 90.00
_cell_angle_gamma 120.00
_symmetry_space_group_name_H-M 'R -3 m'
_symmetry_Int_Tables_number 166
_symmetry_space_group_name_Hall '-R 3 2"'
loop_
_atom_site_label
_atom_site_type_symbol
_atom_site_fract_x
_atom_site_fract_y
_atom_site_fract_z
_atom_site_occupancy
Ac1 Ac 0.0000 0.0000 0.0000 1
Ho1 Ho 0.0000 0.0000 0.5000 1
O1 O 0.0000 0.0000 0.2280 1

# AcHoO3, relaxed, DFT PBE
# E_tot: -326.46 eV per cell
# Energy relative to the elements, uncorrected: -3.449 eV/atom
# Theoretical density: 9.037 g/cm3
data_AcHoO3
_chemical_formula_sum 'Ac8 Ho8 O24'
_cell_length_a 10.641
_cell_length_b 6.084
_cell_length_c 10.641
_cell_angle_alpha 90.00
_cell_angle_beta 110.17
_cell_angle_gamma 90.00
_symmetry_space_group_name_H-M 'C 1 2/c 1'
_symmetry_Int_Tables_number 15
loop_
_symmetry_equiv_pos_as_xyz
'x,y,z'
'-x,-y,-z'
'-x,y,-z+1/2'
'x,-y,z+1/2'
'x+1/2,y+1/2,z'
'-x+1/2,-y+1/2,-z'
'-x+1/2,y+1/2,-z+1/2'
'x+1/2,-y+1/2,z+1/2'
loop_
_atom_site_label
_atom_site_type_symbol
_atom_site_fract_x
_atom_site_fract_y
_atom_site_fract_z
_atom_site_occupancy
Ac1 Ac 0.137 0.249 0.137 1
Ho1 Ho 0.000 0.250 0.750 1
Ho2 Ho 0.250 0.250 0.500 1
O1 O 0.064 0.249 0.564 1
O2 O 0.161 0.001 0.839 1
O3 O 0.161 0.499 0.339 1

# AcHoO3, relaxed, DFT PBE
# E_tot: -80.71 eV per cell
# Energy relative to the elements, uncorrected: -3.359 eV/atom
# Theoretical density: 9.563 g/cm3
data_AcHoO3
_chemical_formula_sum 'Ac2 Ho2 O6'
_cell_length_a 3.579
_cell_length_b 5.760
_cell_length_c 7.412
_cell_angle_alpha 90.00
_cell_angle_beta 90.00
_cell_angle_gamma 90.00
_symmetry_space_group_name_H-M 'P m m n'
_symmetry_Int_Tables_number 59
loop_
_symmetry_equiv_pos_as_xyz
'x,y,z'
'-x,-y,-z'
'-x+1/2,-y+1/2,z'
'x+1/2,y+1/2,-z'
'x+1/2,-y,-z'
'-x+1/2,y,z'
'-x,y+1/2,-z'
'x,-y+1/2,z'
loop_
_atom_site_label
_atom_site_type_symbol
_atom_site_fract_x
_atom_site_fract_y
_atom_site_fract_z
_atom_site_occupancy
Ac1 Ac 0.250 0.250 0.143 1
Ho1 Ho 0.250 0.750 0.401 1
O1 O 0.250 0.509 0.652 1
O2 O 0.250 0.750 0.077 1

# AcHoO, relaxed, DFT PBE
# E_tot: -18.59 eV per cell
# Energy relative to the elements, uncorrected: -1.650 eV/atom
# Relative energy among the computed polymorphs: 0.000 eV per atom
# Theoretical density: 8.738 g/cm3
data_AcHoO
_chemical_formula_sum 'Ac1 Ho1 O1'
_cell_length_a 3.7024
_cell_length_b 3.7024
_cell_length_c 6.5299
_cell_angle_alpha 90.00
_cell_angle_beta 90.00
_cell_angle_gamma 120.00
_symmetry_space_group_name_H-M 'P 3 m 1'
_symmetry_Int_Tables_number 156
loop_
_symmetry_equiv_pos_as_xyz
'x,y,z'
'-y,x-y,z'
'-x+y,-x,z'
'-y,-x,z'
'-x+y,y,z'
'x,x-y,z'
loop_
_atom_site_label
_atom_site_type_symbol
_atom_site_fract_x
_atom_site_fract_y
_atom_site_fract_z
_atom_site_occupancy
Ac1 Ac 0.0000 0.0000 0.0000 1
Ho1 Ho 0.6667 0.3333 0.5347 1
O1 O 0.3333 0.6667 0.6497 1

# AcHoO, relaxed, DFT PBE
# E_tot: -110.76 eV per cell
# Energy relative to the elements, uncorrected: -1.605 eV/atom
# Relative energy among the computed polymorphs: 0.045 eV per atom
# Theoretical density: 8.873 g/cm3
data_AcHoO
_chemical_formula_sum 'Ac6 Ho6 O6'
_cell_length_a 3.6800
_cell_length_b 3.6800
_cell_length_c 39.0563
_cell_angle_alpha 90.00
_cell_angle_beta 90.00
_cell_angle_gamma 120.00
_symmetry_space_group_name_H-M 'R -3 m'
_symmetry_Int_Tables_number 166
_symmetry_space_group_name_Hall '-R 3 2"'
loop_
_atom_site_label
_atom_site_type_symbol
_atom_site_fract_x
_atom_site_fract_y
_atom_site_fract_z
_atom_site_occupancy
Ac1 Ac 0.0000 0.0000 0.2152 1
Ho1 Ho 0.0000 0.0000 0.0433 1
O1 O 0.0000 0.0000 0.3986 1

Look up the energy relative to the elements, uncorrected of the first one. -3.110 eV/atom